# SbRu3S GGA-PBE optimized geometry
# Symmetry   No. 221
# Electronic total energy   -26.87 eV for the cell shown
# D(E_F)   0.5038 states/eV per atom
data_SbRu3S
_chemical_formula_sum 'Sb1 Ru3 S1'
_cell_length_a 4.8849
_cell_length_b 4.8849
_cell_length_c 4.8849
_cell_angle_alpha 90.00
_cell_angle_beta 90.00
_cell_angle_gamma 90.00
_space_group_name_H-M_alt 'P 1'
_space_group_IT_number 1
_space_group_name_Hall 'P 1'
loop_
_atom_site_label
_atom_site_type_symbol
_atom_site_fract_x
_atom_site_fract_y
_atom_site_fract_z
_atom_site_occupancy
Ru1 Ru 0.0000 0.0000 0.5000 1
Ru2 Ru 0.5000 0.0000 0.0000 1
Ru3 Ru 0.0000 0.5000 0.0000 1
Sb1 Sb 0.0000 0.0000 0.0000 1
S1 S 0.5000 0.5000 0.5000 1